Entry 1:
Compound: LiZn2Ir
Source: Alexandria
Functional: meta-GGA SCAN
Structure: PBEsol geometry

DFT total energy ... -24.977 eV per atom
Symmetry ... I-42d, No. 122
Energy relative to the elements ... 153 meV per atom
Relative energy among the computed polymorphs ... 0.542 eV/atom

CIF file:
```
data_LiZn2Ir
_cell_length_a 9.1311
_cell_length_b 9.1311
_cell_length_c 9.1311
_cell_angle_alpha 157.16
_cell_angle_beta 157.16
_cell_angle_gamma 32.53
_symmetry_space_group_name_H-M 'P 1'
_symmetry_Int_Tables_number 1
loop_
_symmetry_equiv_pos_as_xyz
'x,y,z'
loop_
_atom_site_label
_atom_site_type_symbol
_atom_site_fract_x
_atom_site_fract_y
_atom_site_fract_z
_atom_site_occupancy
Li1 Li 0.0000 0.0000 0.0000 1
Li2 Li 0.7500 0.2500 0.5000 1
Zn1 Zn 0.1352 0.6250 0.0102 1
Zn2 Zn 0.3750 0.3852 0.5102 1
Zn3 Zn 0.6148 0.1250 0.9898 1
Zn4 Zn 0.8750 0.8648 0.4898 1
Ir1 Ir 0.2500 0.7500 0.5000 1
Ir2 Ir 0.5000 0.5000 0.0000 1
```

---

Entry 2:
Compound: LiZn2Ir
Source: Alexandria
Functional: meta-GGA SCAN
Structure: PBEsol geometry

DFT total energy ... -25.427 eV per atom
Symmetry ... Imm2, No. 44
Energy relative to the elements ... -297 meV per atom
Relative energy among the computed polymorphs ... 0.091 eV/atom

CIF file:
```
data_LiZn2Ir
_cell_length_a 4.9275
_cell_length_b 4.9275
_cell_length_c 4.9275
_cell_angle_alpha 144.39
_cell_angle_beta 130.42
_cell_angle_gamma 62.52
_symmetry_space_group_name_H-M 'P 1'
_symmetry_Int_Tables_number 1
loop_
_symmetry_equiv_pos_as_xyz
'x,y,z'
loop_
_atom_site_label
_atom_site_type_symbol
_atom_site_fract_x
_atom_site_fract_y
_atom_site_fract_z
_atom_site_occupancy
Li1 Li 0.0000 0.0000 0.0000 1
Zn1 Zn 0.2511 0.7511 0.5000 1
Zn2 Zn 0.4965 0.4965 0.0000 1
Ir1 Ir 0.7450 0.2450 0.5000 1
```

---

Entry 3:
Compound: Li2ZnIr
Source: Alexandria
Functional: meta-GGA SCAN
Structure: PBEsol geometry

DFT total energy ... -22.563 eV per atom
Symmetry ... Pmmm, No. 47
Energy relative to the elements ... -214 meV per atom

CIF file:
```
data_Li2ZnIr
_cell_length_a 2.5355
_cell_length_b 4.1545
_cell_length_c 5.1048
_cell_angle_alpha 90.00
_cell_angle_beta 90.00
_cell_angle_gamma 90.00
_symmetry_space_group_name_H-M 'P 1'
_symmetry_Int_Tables_number 1
loop_
_symmetry_equiv_pos_as_xyz
'x,y,z'
loop_
_atom_site_label
_atom_site_type_symbol
_atom_site_fract_x
_atom_site_fract_y
_atom_site_fract_z
_atom_site_occupancy
Li1 Li 0.0000 0.0000 0.2326 1
Li2 Li 0.0000 0.0000 0.7674 1
Zn1 Zn 0.5000 0.5000 0.5000 1
Ir1 Ir 0.5000 0.5000 0.0000 1
```

---

Entry 4:
Compound: Li2ZnIr
Source: Alexandria
Functional: meta-GGA SCAN
Structure: PBEsol geometry

DFT total energy ... -22.602 eV per atom
Symmetry ... P2/m, No. 10
Energy relative to the elements ... -254 meV per atom

CIF file:
```
data_Li2ZnIr
_cell_length_a 2.6888
_cell_length_b 4.4191
_cell_length_c 4.4991
_cell_angle_alpha 90.00
_cell_angle_beta 93.66
_cell_angle_gamma 90.00
_symmetry_space_group_name_H-M 'P 1'
_symmetry_Int_Tables_number 1
loop_
_symmetry_equiv_pos_as_xyz
'x,y,z'
loop_
_atom_site_label
_atom_site_type_symbol
_atom_site_fract_x
_atom_site_fract_y
_atom_site_fract_z
_atom_site_occupancy
Li1 Li 0.2269 0.0000 0.2314 1
Li2 Li 0.7731 0.0000 0.7686 1
Zn1 Zn 0.0000 0.5000 0.5000 1
Ir1 Ir 0.5000 0.5000 0.0000 1
```

---

Entry 5:
Compound: Li2ZnIr
Source: Alexandria
Functional: meta-GGA SCAN
Structure: PBEsol geometry

DFT total energy ... -22.594 eV per atom
Symmetry ... F-43m, No. 216
Energy relative to the elements ... -245 meV per atom

CIF file:
```
data_Li2ZnIr
_cell_length_a 4.1846
_cell_length_b 4.1846
_cell_length_c 4.1846
_cell_angle_alpha 60.00
_cell_angle_beta 60.00
_cell_angle_gamma 60.00
_symmetry_space_group_name_H-M 'P 1'
_symmetry_Int_Tables_number 1
loop_
_symmetry_equiv_pos_as_xyz
'x,y,z'
loop_
_atom_site_label
_atom_site_type_symbol
_atom_site_fract_x
_atom_site_fract_y
_atom_site_fract_z
_atom_site_occupancy
Li1 Li 0.0000 0.0000 0.0000 1
Li2 Li 0.2500 0.2500 0.2500 1
Zn1 Zn 0.7500 0.7500 0.7500 1
Ir1 Ir 0.5000 0.5000 0.5000 1
```

---

Entry 6:
Compound: LiZn2Ir
Source: Alexandria
Functional: meta-GGA SCAN
Structure: PBEsol geometry

DFT total energy ... -25.400 eV per atom
Symmetry ... P4/mmm, No. 123
Energy relative to the elements ... -270 meV per atom
Relative energy among the computed polymorphs ... 0.119 eV/atom

CIF file:
```
data_LiZn2Ir
_cell_length_a 3.0346
_cell_length_b 3.0346
_cell_length_c 5.7634
_cell_angle_alpha 90.00
_cell_angle_beta 90.00
_cell_angle_gamma 90.00
_symmetry_space_group_name_H-M 'P 1'
_symmetry_Int_Tables_number 1
loop_
_symmetry_equiv_pos_as_xyz
'x,y,z'
loop_
_atom_site_label
_atom_site_type_symbol
_atom_site_fract_x
_atom_site_fract_y
_atom_site_fract_z
_atom_site_occupancy
Li1 Li 0.0000 0.0000 0.0000 1
Zn1 Zn 0.5000 0.5000 0.2490 1
Zn2 Zn 0.5000 0.5000 0.7510 1
Ir1 Ir 0.0000 0.0000 0.5000 1
```

---

Entry 7:
Compound: Li2ZnIr
Source: Alexandria
Functional: meta-GGA SCAN
Structure: PBEsol geometry

DFT total energy ... -22.585 eV per atom
Symmetry ... Pmm2, No. 25
Energy relative to the elements ... -237 meV per atom

CIF file:
```
data_Li2ZnIr
_cell_length_a 2.5613
_cell_length_b 4.0264
_cell_length_c 5.2723
_cell_angle_alpha 90.00
_cell_angle_beta 90.00
_cell_angle_gamma 90.00
_symmetry_space_group_name_H-M 'P 1'
_symmetry_Int_Tables_number 1
loop_
_symmetry_equiv_pos_as_xyz
'x,y,z'
loop_
_atom_site_label
_atom_site_type_symbol
_atom_site_fract_x
_atom_site_fract_y
_atom_site_fract_z
_atom_site_occupancy
Li1 Li 0.0000 0.0000 0.0000 1
Li2 Li 0.5000 0.5000 0.2607 1
Zn1 Zn 0.0000 0.0000 0.5301 1
Ir1 Ir 0.5000 0.5000 0.7554 1
```

---

Entry 8:
Compound: LiZn2Ir
Source: Alexandria
Functional: meta-GGA SCAN
Structure: PBEsol geometry

DFT total energy ... -25.398 eV per atom
Symmetry ... Pmmm, No. 47
Energy relative to the elements ... -269 meV per atom
Relative energy among the computed polymorphs ... 0.120 eV/atom

CIF file:
```
data_LiZn2Ir
_cell_length_a 2.7071
_cell_length_b 3.7529
_cell_length_c 5.3057
_cell_angle_alpha 90.00
_cell_angle_beta 90.00
_cell_angle_gamma 90.00
_symmetry_space_group_name_H-M 'P 1'
_symmetry_Int_Tables_number 1
loop_
_symmetry_equiv_pos_as_xyz
'x,y,z'
loop_
_atom_site_label
_atom_site_type_symbol
_atom_site_fract_x
_atom_site_fract_y
_atom_site_fract_z
_atom_site_occupancy
Li1 Li 0.0000 0.0000 0.0000 1
Zn1 Zn 0.5000 0.5000 0.2558 1
Zn2 Zn 0.5000 0.5000 0.7442 1
Ir1 Ir 0.0000 0.0000 0.5000 1
```

---

Entry 9:
Compound: LiZn2Ir
Source: Alexandria
Functional: meta-GGA SCAN
Structure: PBEsol geometry

DFT total energy ... -25.188 eV per atom
Symmetry ... P4mm, No. 99
Energy relative to the elements ... -58 meV per atom
Relative energy among the computed polymorphs ... 0.330 eV/atom

CIF file:
```
data_LiZn2Ir
_cell_length_a 2.7045
_cell_length_b 2.7045
_cell_length_c 7.6083
_cell_angle_alpha 90.00
_cell_angle_beta 90.00
_cell_angle_gamma 90.00
_symmetry_space_group_name_H-M 'P 1'
_symmetry_Int_Tables_number 1
loop_
_symmetry_equiv_pos_as_xyz
'x,y,z'
loop_
_atom_site_label
_atom_site_type_symbol
_atom_site_fract_x
_atom_site_fract_y
_atom_site_fract_z
_atom_site_occupancy
Li1 Li 0.0000 0.0000 0.0000 1
Zn1 Zn 0.0000 0.0000 0.5221 1
Zn2 Zn 0.5000 0.5000 0.2647 1
Ir1 Ir 0.5000 0.5000 0.7573 1
```

---

Entry 10:
Compound: Li3ZrIr
Source: Alexandria
Functional: meta-GGA SCAN
Structure: PBEsol geometry

DFT total energy ... -21.221 eV per atom
Symmetry ... Pm-3m, No. 221
Energy relative to the elements ... 572 meV per atom

CIF file:
```
data_Li3ZrIr
_cell_length_a 4.3859
_cell_length_b 4.3859
_cell_length_c 4.3859
_cell_angle_alpha 90.00
_cell_angle_beta 90.00
_cell_angle_gamma 90.00
_symmetry_space_group_name_H-M 'P 1'
_symmetry_Int_Tables_number 1
loop_
_symmetry_equiv_pos_as_xyz
'x,y,z'
loop_
_atom_site_label
_atom_site_type_symbol
_atom_site_fract_x
_atom_site_fract_y
_atom_site_fract_z
_atom_site_occupancy
Li1 Li 0.0000 0.0000 0.5000 1
Li2 Li 0.0000 0.5000 0.0000 1
Li3 Li 0.5000 0.0000 0.0000 1
Zr1 Zr 0.5000 0.5000 0.5000 1
Ir1 Ir 0.0000 0.0000 0.0000 1
```